(1)
La8Sn2Pb | PBE | optimized geometry

Cell and atoms, written as POSCAR:
```
La8Sn2Pb
1.0
-2.965 -2.495 3.241
-1.882 -5.589 -6.025
8.854 -1.424 3.067
La Sn Pb
8 2 1
direct
0.401 0.550 0.802
0.675 0.915 0.351
0.843 0.763 0.686
0.952 0.256 0.904
0.157 0.237 0.314
0.325 0.085 0.649
0.599 0.450 0.198
0.048 0.744 0.096
0.783 0.328 0.566
0.217 0.672 0.434
0.500 0.000 0.000
```

Summary:
Total magnetic moment = 0.00 μB/cell
Final energy = -5.085 eV per atom
Formation energy = -0.437 eV/atom

---

(2)
MgZn2Si | PBE | optimized geometry

Cell and atoms, written as POSCAR:
```
MgZn2Si
1.0
-0.439 -3.054 -0.576
3.753 -0.376 -0.866
1.093 -1.145 5.236
Mg Si Zn
1 1 2
direct
0.500 0.500 0.250
0.500 0.500 0.750
0.000 0.000 0.990
0.000 0.000 0.510
```

Summary:
Total magnetic moment = 0.00 μB/cell
Final energy = -2.294 eV per atom
Energy relative to the elements, uncorrected = 0.10 eV/atom

---

(3)
Nb3NiPb | PBE | optimized geometry

Cell and atoms, written as POSCAR:
```
Nb3NiPb
1.0
4.679 0.000 0.000
0.000 4.679 0.000
0.000 0.000 4.679
Pb Ni Nb
1 1 3
direct
0.500 0.500 0.500
0.000 0.000 0.000
0.000 0.500 0.000
0.000 0.000 0.500
0.500 0.000 0.000
```

Summary:
Total magnetic moment = 0.00 μB/cell
Final energy = -7.314 eV per atom
Formation energy = 0.626 eV/atom